w.
{"formula": "Sc4Cd5", "functional": "GGA-PBEsol", "state": "relaxed", "lattice_angstrom": [[-1.147, 1.712, -4.110], [-5.151, -3.629, -2.645], [-4.803, 4.801, 0.768]], "species": ["Cd", "Cd", "Cd", "Cd", "Cd", "Sc", "Sc", "Sc", "Sc"], "fractional_positions": [[0.000, 0.000, 0.000], [0.333, 0.000, 0.333], [0.667, 0.667, 0.000], [0.667, 0.000, 0.667], [0.333, 0.333, 0.000], [0.673, 0.327, 0.327], [0.000, 0.673, 0.327], [0.000, 0.327, 0.673], [0.327, 0.673, 0.673]], "vol_a3_per_atom": 21.157, "magnetic_moment_mub_per_atom": 0.000, "space_group": "I4/mmm", "crystal_system": "tetragonal"}



x.
{"formula": "Sc4Cd5", "functional": "GGA-PBEsol", "state": "relaxed", "lattice_angstrom": [[5.993, 0.000, 0.000], [0.000, 8.561, 0.000], [0.000, -4.281, 7.414]], "species": ["Sc", "Sc", "Sc", "Sc", "Sc", "Sc", "Sc", "Sc", "Cd", "Cd", "Cd", "Cd", "Cd", "Cd", "Cd", "Cd", "Cd", "Cd"], "fractional_positions": [[0.000, 0.000, 0.000], [0.750, 0.350, 0.000], [0.500, 0.000, 0.000], [0.250, 0.350, 0.350], [0.250, 0.650, 0.000], [0.750, 0.650, 0.650], [0.250, 0.000, 0.650], [0.750, 0.000, 0.350], [0.500, 0.333, 0.667], [0.750, 0.684, 0.000], [0.250, 0.316, 0.000], [0.750, 0.316, 0.316], [0.000, 0.667, 0.333], [0.250, 0.000, 0.316], [0.500, 0.667, 0.333], [0.750, 0.000, 0.684], [0.000, 0.333, 0.667], [0.250, 0.684, 0.684]], "vol_a3_per_atom": 21.136, "magnetic_moment_mub_per_atom": 0.000, "space_group": "P6_3/mcm", "crystal_system": "hexagonal"}



Need the numbers? Relative energies in meV/atom: w 8; x 0.



w.
{"formula": "ScCd7", "functional": "GGA-PBEsol", "state": "relaxed", "lattice_angstrom": [[-5.348, -3.052, -0.568], [-0.618, -4.376, -4.325], [-0.355, -5.949, 1.649]], "species": ["Sc", "Cd", "Cd", "Cd", "Cd", "Cd", "Cd", "Cd"], "fractional_positions": [[0.000, 0.000, 0.000], [0.500, 0.500, 0.000], [0.500, 0.000, 0.500], [0.000, 0.500, 0.000], [0.500, 0.500, 0.500], [0.500, 0.000, 0.000], [0.000, 0.500, 0.500], [0.000, 0.000, 0.500]], "vol_a3_per_atom": 20.903, "magnetic_moment_mub_per_atom": 0.000, "space_group": "Fm-3m", "crystal_system": "cubic"}



x.
{"formula": "ScCd7", "functional": "GGA-PBEsol", "state": "relaxed", "lattice_angstrom": [[-0.880, -3.646, 4.847], [-3.036, -2.428, -4.738], [7.478, -4.863, -2.301]], "species": ["Cd", "Cd", "Cd", "Cd", "Cd", "Cd", "Cd", "Cd", "Cd", "Cd", "Cd", "Cd", "Cd", "Cd", "Sc", "Sc"], "fractional_positions": [[0.086, 0.914, 0.250], [0.289, 0.711, 0.483], [0.598, 0.997, 0.250], [0.788, 0.788, 0.500], [0.402, 0.003, 0.750], [0.212, 0.212, 0.000], [0.711, 0.289, 0.517], [0.788, 0.788, 0.000], [0.711, 0.289, 0.983], [0.289, 0.711, 0.017], [0.997, 0.598, 0.750], [0.212, 0.212, 0.500], [0.003, 0.402, 0.250], [0.914, 0.086, 0.750], [0.522, 0.478, 0.250], [0.478, 0.522, 0.750]], "vol_a3_per_atom": 20.597, "magnetic_moment_mub_per_atom": 0.000, "space_group": "Cmcm", "crystal_system": "orthorhombic"}



Need the numbers? Relative energies in meV/atom: w 62; x 0.



w.
{"formula": "Sr2ScCd", "functional": "GGA-PBEsol", "state": "relaxed", "lattice_angstrom": [[3.777, 0.000, 0.000], [0.000, 3.777, 0.000], [0.000, 0.000, 9.575]], "species": ["Sc", "Sr", "Sr", "Cd"], "fractional_positions": [[0.500, 0.500, 0.684], [0.000, 0.000, 0.957], [0.500, 0.500, 0.312], [0.000, 0.000, 0.547]], "vol_a3_per_atom": 34.139, "magnetic_moment_mub_per_atom": 0.066, "space_group": "P4mm", "crystal_system": "tetragonal"}



x.
{"formula": "Sr2ScCd", "functional": "GGA-PBEsol", "state": "relaxed", "lattice_angstrom": [[-2.892, -2.409, 0.214], [1.399, -1.938, -2.916], [4.895, -5.353, 5.906]], "species": ["Cd", "Sc", "Sr", "Sr"], "fractional_positions": [[0.500, 0.500, 0.000], [0.500, 0.500, 0.500], [0.000, 0.000, 0.775], [0.000, 0.000, 0.225]], "vol_a3_per_atom": 33.238, "magnetic_moment_mub_per_atom": 0.317, "space_group": "P4/mmm", "crystal_system": "tetragonal"}



Need the numbers? Relative energies in meV/atom: w 0; x 108.



w.
{"formula": "SrScCd", "functional": "GGA-PBEsol", "state": "relaxed", "lattice_angstrom": [[-1.144, -0.088, -4.906], [0.402, -4.294, -2.604], [-4.147, -2.388, -1.577]], "species": ["Cd", "Sr", "Sc"], "fractional_positions": [[0.500, 0.500, 0.500], [0.000, 0.000, 0.000], [0.250, 0.250, 0.250]], "vol_a3_per_atom": 30.147, "magnetic_moment_mub_per_atom": 0.000, "space_group": "F-43m", "crystal_system": "cubic"}



x.
{"formula": "SrScCd", "functional": "GGA-PBEsol", "state": "relaxed", "lattice_angstrom": [[3.887, 0.000, 0.000], [0.000, 5.137, 0.000], [0.000, -2.569, 4.449]], "species": ["Cd", "Sr", "Sc"], "fractional_positions": [[0.835, 0.000, 0.000], [0.333, 0.667, 0.333], [0.832, 0.333, 0.667]], "vol_a3_per_atom": 29.611, "magnetic_moment_mub_per_atom": 0.000, "space_group": "P3m1", "crystal_system": "trigonal"}



Need the numbers? Relative energies in meV/atom: w 407; x 0.



w.
{"formula": "ScTaCd2", "functional": "GGA-PBEsol", "state": "relaxed", "lattice_angstrom": [[3.025, 0.000, 0.000], [0.000, 4.475, 0.000], [-1.512, 0.000, 5.830]], "species": ["Sc", "Cd", "Cd", "Ta"], "fractional_positions": [[0.444, 0.000, 0.888], [0.059, 0.500, 0.119], [0.198, 0.000, 0.396], [0.811, 0.500, 0.622]], "vol_a3_per_atom": 19.731, "magnetic_moment_mub_per_atom": 0.000, "space_group": "Amm2", "crystal_system": "orthorhombic"}



x.
{"formula": "ScTaCd2", "functional": "GGA-PBEsol", "state": "relaxed", "lattice_angstrom": [[-2.647, 0.124, 1.341], [0.983, -4.560, 2.364], [1.701, 3.937, 2.992]], "species": ["Ta", "Sc", "Cd", "Cd"], "fractional_positions": [[0.500, 0.500, 0.500], [0.500, 0.000, 0.000], [0.000, 0.500, 0.000], [0.000, 0.000, 0.500]], "vol_a3_per_atom": 19.119, "magnetic_moment_mub_per_atom": 0.001, "space_group": "Cmmm", "crystal_system": "orthorhombic"}



y.
{"formula": "ScTaCd2", "functional": "GGA-PBEsol", "state": "relaxed", "lattice_angstrom": [[-0.369, -2.507, 1.574], [2.205, 0.825, 1.831], [-5.708, 4.021, 5.064]], "species": ["Cd", "Cd", "Ta", "Sc"], "fractional_positions": [[0.000, 0.000, 0.255], [0.000, 0.000, 0.745], [0.500, 0.500, 0.500], [0.500, 0.500, 0.000]], "vol_a3_per_atom": 19.185, "magnetic_moment_mub_per_atom": 0.029, "space_group": "P4/mmm", "crystal_system": "tetragonal"}



z.
{"formula": "ScTaCd2", "functional": "GGA-PBEsol", "state": "relaxed", "lattice_angstrom": [[-0.417, 2.121, -1.980], [-0.338, -3.583, -3.768], [-4.800, -0.809, 2.314]], "species": ["Ta", "Cd", "Cd", "Sc"], "fractional_positions": [[0.500, 0.000, 0.000], [0.247, 0.244, 0.493], [0.753, 0.756, 0.507], [0.000, 0.500, 0.000]], "vol_a3_per_atom": 19.568, "magnetic_moment_mub_per_atom": 0.000, "space_group": "C2/m", "crystal_system": "monoclinic"}



Need the numbers? Relative energies in meV/atom: w 95; x 27; y 0; z 118.



w.
{"formula": "ZrScCd", "functional": "GGA-PBEsol", "state": "relaxed", "lattice_angstrom": [[-2.630, 1.059, 1.398], [0.885, -3.012, 0.372], [4.055, 1.951, 6.151]], "species": ["Zr", "Sc", "Cd"], "fractional_positions": [[0.667, 0.333, 0.337], [0.333, 0.667, 0.664], [0.000, 0.000, 0.999]], "vol_a3_per_atom": 21.994, "magnetic_moment_mub_per_atom": 0.000, "space_group": "P3m1", "crystal_system": "trigonal"}



x.
{"formula": "ZrScCd", "functional": "GGA-PBEsol", "state": "relaxed", "lattice_angstrom": [[-1.928, 2.312, 1.114], [0.739, -0.834, 3.010], [5.394, 3.293, -2.123]], "species": ["Zr", "Sc", "Cd"], "fractional_positions": [[0.333, 0.333, 0.666], [0.665, 0.665, 0.331], [0.001, 0.001, 0.003]], "vol_a3_per_atom": 21.526, "magnetic_moment_mub_per_atom": 0.000, "space_group": "I4mm", "crystal_system": "tetragonal"}



Need the numbers? Relative energies in meV/atom: w 129; x 0.



w.
{"formula": "Sr2CdSe", "functional": "GGA-PBEsol", "state": "relaxed", "lattice_angstrom": [[5.516, 0.000, 0.000], [2.758, 4.777, 0.000], [2.758, 1.592, 4.503]], "species": ["Sr", "Sr", "Se", "Cd"], "fractional_positions": [[0.750, 0.750, 0.750], [0.250, 0.250, 0.250], [0.500, 0.500, 0.500], [0.000, 0.000, 0.000]], "vol_a3_per_atom": 29.661, "magnetic_moment_mub_per_atom": 0.000, "space_group": "Fm-3m", "crystal_system": "cubic"}



x.
{"formula": "Sr2CdSe", "functional": "GGA-PBEsol", "state": "relaxed", "lattice_angstrom": [[4.541, -0.003, 0.000], [0.004, 4.541, 0.000], [0.000, 0.000, 6.426]], "species": ["Cd", "Sr", "Sr", "Se"], "fractional_positions": [[0.624, 0.624, 0.000], [0.623, 0.623, 0.500], [0.124, 0.124, 0.000], [0.123, 0.123, 0.500]], "vol_a3_per_atom": 33.121, "magnetic_moment_mub_per_atom": 0.075, "space_group": "Amm2", "crystal_system": "orthorhombic"}



Need the numbers? Relative energies in meV/atom: w 122; x 0.



w.
{"formula": "Cd2TeSe", "functional": "GGA-PBEsol", "state": "relaxed", "lattice_angstrom": [[6.286, 0.000, 0.000], [0.000, 6.286, 0.000], [-3.143, -3.143, 6.271]], "species": ["Cd", "Cd", "Cd", "Cd", "Se", "Se", "Te", "Te"], "fractional_positions": [[0.125, 0.146, 0.750], [0.396, 0.875, 0.250], [0.854, 0.375, 0.250], [0.625, 0.604, 0.750], [0.750, 0.250, 0.500], [0.500, 0.500, 0.000], [0.000, 0.000, 0.000], [0.250, 0.750, 0.500]], "vol_a3_per_atom": 30.970, "magnetic_moment_mub_per_atom": 0.000, "space_group": "I-42d", "crystal_system": "tetragonal"}



x.
{"formula": "Cd2TeSe", "functional": "GGA-PBEsol", "state": "relaxed", "lattice_angstrom": [[-4.511, 1.719, 1.163], [0.503, -3.072, -4.106], [-1.705, -4.656, 0.271]], "species": ["Se", "Cd", "Cd", "Te"], "fractional_positions": [[0.500, 0.000, 0.500], [0.250, 0.500, 0.250], [0.750, 0.500, 0.750], [0.000, 0.000, 0.000]], "vol_a3_per_atom": 23.249, "magnetic_moment_mub_per_atom": 0.000, "space_group": "I4/mmm", "crystal_system": "tetragonal"}



y.
{"formula": "Cd2TeSe", "functional": "GGA-PBEsol", "state": "relaxed", "lattice_angstrom": [[-3.748, -1.135, 2.102], [0.130, -2.907, 3.360], [-0.232, 4.113, 6.507]], "species": ["Te", "Cd", "Cd", "Se"], "fractional_positions": [[0.624, 0.624, 0.129], [0.005, 0.005, 0.984], [0.495, 0.495, 0.515], [0.126, 0.126, 0.622]], "vol_a3_per_atom": 31.054, "magnetic_moment_mub_per_atom": 0.000, "space_group": "R3m", "crystal_system": "trigonal"}



z.
{"formula": "Cd2TeSe", "functional": "GGA-PBEsol", "state": "relaxed", "lattice_angstrom": [[3.963, 0.000, 0.000], [0.000, 3.963, 0.000], [0.000, 0.000, 6.720]], "species": ["Cd", "Cd", "Te", "Se"], "fractional_positions": [[0.000, 0.000, 0.942], [0.500, 0.500, 0.400], [0.500, 0.500, 0.825], [0.000, 0.000, 0.333]], "vol_a3_per_atom": 26.388, "magnetic_moment_mub_per_atom": 0.000, "space_group": "P4mm", "crystal_system": "tetragonal"}



Need the numbers? Relative energies in meV/atom: w 0; x 516; y 11; z 130.



w.
{"formula": "Cd2TeSe", "functional": "GGA-PBEsol", "state": "relaxed", "lattice_angstrom": [[4.448, 0.000, 0.000], [0.000, 4.448, 0.000], [0.000, 0.000, 6.270]], "species": ["Se", "Cd", "Cd", "Te"], "fractional_positions": [[0.500, 0.500, 0.000], [0.500, 0.000, 0.767], [0.000, 0.500, 0.233], [0.000, 0.000, 0.500]], "vol_a3_per_atom": 31.014, "magnetic_moment_mub_per_atom": 0.000, "space_group": "P-4m2", "crystal_system": "tetragonal"}



x.
{"formula": "Cd2TeSe", "functional": "GGA-PBEsol", "state": "relaxed", "lattice_angstrom": [[-0.523, -3.761, -2.304], [0.126, -0.114, 4.438], [-7.217, 0.863, 0.228]], "species": ["Cd", "Cd", "Se", "Te"], "fractional_positions": [[0.000, 0.000, 0.985], [0.333, 0.667, 0.516], [0.333, 0.667, 0.879], [0.000, 0.000, 0.372]], "vol_a3_per_atom": 31.052, "magnetic_moment_mub_per_atom": 0.000, "space_group": "P3m1", "crystal_system": "trigonal"}



Need the numbers? Relative energies in meV/atom: w 0; x 6.



w.
{"formula": "Tl2CdSe", "functional": "GGA-PBEsol", "state": "relaxed", "lattice_angstrom": [[3.782, 0.000, 0.000], [0.000, 5.294, -0.019], [-1.891, -2.641, 5.218]], "species": ["Se", "Cd", "Tl", "Tl"], "fractional_positions": [[0.230, 0.726, 0.461], [0.535, 0.538, 0.070], [0.762, 0.261, 0.523], [0.973, 0.975, 0.946]], "vol_a3_per_atom": 26.071, "magnetic_moment_mub_per_atom": 0.000, "space_group": "Cm", "crystal_system": "monoclinic"}



x.
{"formula": "Tl2CdSe", "functional": "GGA-PBEsol", "state": "relaxed", "lattice_angstrom": [[5.268, 0.000, 0.000], [2.634, 4.562, 0.000], [2.634, 1.521, 4.301]], "species": ["Se", "Cd", "Tl", "Tl"], "fractional_positions": [[0.750, 0.750, 0.750], [0.500, 0.500, 0.500], [0.000, 0.000, 0.000], [0.250, 0.250, 0.250]], "vol_a3_per_atom": 25.839, "magnetic_moment_mub_per_atom": 0.000, "space_group": "F-43m", "crystal_system": "cubic"}



Need the numbers? Relative energies in meV/atom: w 0; x 115.



w.
{"formula": "ZrCdSe", "functional": "GGA-PBEsol", "state": "relaxed", "lattice_angstrom": [[-2.084, 0.153, -2.658], [-2.415, -1.530, 1.805], [0.443, 5.539, 2.121]], "species": ["Zr", "Cd", "Se"], "fractional_positions": [[0.308, 0.308, 0.617], [0.999, 0.999, 0.998], [0.692, 0.692, 0.385]], "vol_a3_per_atom": 20.756, "magnetic_moment_mub_per_atom": 0.000, "space_group": "I4mm", "crystal_system": "tetragonal"}



x.
{"formula": "ZrCdSe", "functional": "GGA-PBEsol", "state": "relaxed", "lattice_angstrom": [[-3.065, 3.478, 0.091], [-3.888, -0.401, 2.494], [-0.546, 2.508, 3.861]], "species": ["Cd", "Zr", "Se"], "fractional_positions": [[0.000, 0.000, 0.000], [0.750, 0.750, 0.750], [0.500, 0.500, 0.500]], "vol_a3_per_atom": 23.489, "magnetic_moment_mub_per_atom": 0.000, "space_group": "F-43m", "crystal_system": "cubic"}



Need the numbers? Relative energies in meV/atom: w 0; x 563.



w.
{"formula": "CdSi2", "functional": "GGA-PBEsol", "state": "relaxed", "lattice_angstrom": [[4.429, 0.000, 0.000], [2.214, 3.835, 0.000], [2.214, 1.278, 3.616]], "species": ["Si", "Si", "Cd"], "fractional_positions": [[0.750, 0.750, 0.750], [0.250, 0.250, 0.250], [0.000, 0.000, 0.000]], "vol_a3_per_atom": 20.475, "magnetic_moment_mub_per_atom": 0.000, "space_group": "Fm-3m", "crystal_system": "cubic"}



x.
{"formula": "CdSi2", "functional": "GGA-PBEsol", "state": "relaxed", "lattice_angstrom": [[-0.494, 5.715, 1.262], [-3.646, 0.917, -5.578], [-3.048, -1.543, 5.795]], "species": ["Si", "Si", "Si", "Si", "Si", "Si", "Cd", "Cd", "Cd"], "fractional_positions": [[0.649, 0.248, 0.000], [0.351, 0.752, 0.000], [0.351, 0.248, 0.248], [0.649, 0.000, 0.248], [0.649, 0.752, 0.752], [0.351, 0.000, 0.752], [0.500, 0.667, 0.333], [0.000, 0.000, 0.000], [0.500, 0.333, 0.667]], "vol_a3_per_atom": 25.575, "magnetic_moment_mub_per_atom": 0.000, "space_group": "P-31m", "crystal_system": "trigonal"}



Need the numbers? Relative energies in meV/atom: w 160; x 0.